[1]
# TiAl5Ir6

Crystalline TiAl5Ir6 at its relaxed geometry (PBE-GGA, Alexandria).

## Properties
Its space group is Immm, No. 71.

Structure (extended XYZ):
```
12
Lattice="-2.0984 3.1865 6.2905 2.0984 -3.1865 6.2905 2.0984 3.1865 -6.2905" Properties=species:S:1:pos:R:3 pbc="T T T"
Ti 0.0000 0.0000 0.0000
Al 2.0984 0.0000 2.0851
Al 0.0000 0.0000 4.1834
Al 0.0000 3.1865 0.0000
Al 0.0000 0.0000 8.3976
Al 0.0000 3.1865 4.2054
Ir 2.0984 -1.5781 4.1877
Ir 2.0984 1.6209 0.0000
Ir 0.0000 1.6085 2.1028
Ir 2.0984 1.5781 4.1877
Ir 0.0000 1.5656 6.2905
Ir 0.0000 4.7646 2.1028
```

***

[2]
# TiAlIr3

Crystalline TiAlIr3 at its relaxed geometry (PBE-GGA, Alexandria).

## Properties
The polymorph energy (0 for the lowest one) comes out at 0.000 eV/atom. Its space group is Pm-3m, No. 221.

Structure (extended XYZ):
```
5
Lattice="4.4157 0.0000 0.0000 0.0000 4.4157 0.0000 0.0000 0.0000 4.4157" Properties=species:S:1:pos:R:3 pbc="T T T"
Ti 0.0000 0.0000 0.0000
Al 2.2079 2.2079 2.2079
Ir 0.0000 2.2079 2.2079
Ir 2.2079 0.0000 2.2079
Ir 2.2079 2.2079 0.0000
```

***

[3]
# Ti4Al4Ir

Crystalline Ti4Al4Ir at its relaxed geometry (PBE-GGA, Alexandria).

## Properties
Its space group is P4_2/nmc, No. 137.

Structure (extended XYZ):
```
18
Lattice="5.5338 0.0000 0.0000 0.0000 5.5338 0.0000 0.0000 0.0000 10.0792" Properties=species:S:1:pos:R:3 pbc="T T T"
Ti 0.1406 1.3834 1.8804
Ti 1.3834 0.1406 6.9200
Ti 1.3834 2.6263 6.9200
Ti 2.6263 1.3834 1.8804
Ti 2.9075 4.1503 8.1988
Ti 4.1503 2.9075 3.1592
Ti 4.1503 5.3931 3.1592
Ti 5.3931 4.1503 8.1988
Al 0.0442 4.1503 5.0461
Al 1.3834 2.8111 10.0727
Al 1.3834 5.4896 10.0727
Al 2.7227 4.1503 5.0461
Al 2.8111 1.3834 5.0331
Al 4.1503 0.0442 0.0065
Al 4.1503 2.7227 0.0065
Al 5.4896 1.3834 5.0331
Ir 1.3834 4.1503 2.5198
Ir 4.1503 1.3834 7.5594
```

***

[4]
# Ti4AlIr

Crystalline Ti4AlIr at its relaxed geometry (PBE-GGA, Alexandria).

## Properties
The polymorph energy (0 for the lowest one) comes out at 0.000 eV/atom. Its space group is C2/m, No. 12.

Structure (extended XYZ):
```
6
Lattice="5.2058 -1.5535 0.0000 5.2058 1.5535 0.0000 -1.8410 0.0000 5.9399" Properties=species:S:1:pos:R:3 pbc="T T T"
Ti 1.0615 0.0000 2.0121
Ti 0.2058 0.0000 4.9132
Ti 8.3648 0.0000 1.0267
Ti 7.5091 0.0000 3.9278
Al 5.2058 0.0000 0.0000
Ir 4.2853 0.0000 2.9699
```

***

DFT formation energy? In order: -0.94; 0.56; 0.13; -0.47 eV per atom.
Total magnetic moment? In order: 0.0; 0.0; 2.6; 0.0 μB/cell.